This record from Alexandria via LeMat-Bulk describes an optimized crystal structure of U2MnIr. The functional is PBE.

Cell lengths 2.899, 2.899, 9.731 Å; angles 81.43, 81.43, 60.00 degrees
Fractional positions:
U1 0.908 0.908 0.276
U2 0.092 0.092 0.724
Mn1 0.500 0.500 0.500
Ir1 0.000 0.000 0.000

Output
Space group: R-3m
Total DFT energy (no corrections): -39.42 eV/cell
Crystal system: trigonal